Entry 1:
VASP calculation (SCAN) on LiIr3C at its PBEsol-relaxed geometry.

Its electronic total energy is -3.1482 Ry per atom. The calculation puts the excess energy over the best structure of this formula in the dataset at 2110.2 meV per atom. As for the density of states at the Fermi level: 0.4916 states/eV/atom. The calculated formation energy comes out at 2323 meV per atom.

The structure belongs to space group Pm-3m (No. 221); the cell edges are 4.019, 4.019 and 4.019 Å and the angles 90.00°, 90.00° and 90.00°. The asymmetric unit holds Li at (0.000, 0.000, 0.000), Ir at (0.000, 0.000, 0.500) and C at (0.500, 0.500, 0.500).

***

Entry 2:
VASP calculation (SCAN) on CrFe2P at its PBEsol-relaxed geometry.

Its electronic total energy is -1.1889 Ry per atom. As for the density of states at the Fermi level: 0.8732 states/eV/atom. The calculated formation energy comes out at 85 meV per atom.

The structure belongs to space group P2/m (No. 10); the cell edges are 2.530, 3.636 and 4.692 Å and the angles 90.00°, 105.39° and 90.00°. The asymmetric unit holds Cr at (0.000, 0.000, 0.000), Fe at (0.373, 0.500, 0.739) and P at (0.000, 0.000, 0.500).

***

Entry 3:
VASP calculation (SCAN) on LiMnGe2 at its PBEsol-relaxed geometry.

Its electronic total energy is -1.0900 Ry per atom. As for the density of states at the Fermi level: 0.8011 states/eV/atom. The calculated formation energy comes out at -125 meV per atom.

The structure belongs to space group Fm-3m (No. 225); the cell edges are 5.995, 5.995 and 5.995 Å and the angles 90.00°, 90.00° and 90.00°. The asymmetric unit holds Li at (0.000, 0.000, 0.000), Mn at (0.000, 0.000, 0.500) and Ge at (0.250, 0.250, 0.250).

***

Entry 4:
VASP calculation (SCAN) on LiRe2O at its PBEsol-relaxed geometry.

The value obtained for the uncorrected formation energy is 0.889 eV/atom. Its electronic total energy is -2.7059 Ry per atom. As for the density of states at the Fermi level: 0.8012 states/eV/atom.

The structure belongs to space group I4_1/amd (No. 141, origin choice 2); the cell edges are 4.824, 4.824 and 12.666 Å and the angles 90.00°, 90.00° and 90.00°. The asymmetric unit holds Li at (0.000, 0.250, 0.375), Re at (0.000, 0.000, 0.000) and O at (0.000, 0.250, 0.875).

***

Entry 5:
VASP calculation (SCAN) on DyMgPd at its PBEsol-relaxed geometry.

Its electronic total energy is -2.1533 Ry per atom. As for the density of states at the Fermi level: 0.7015 states/eV/atom. The calculated formation energy comes out at -782 meV per atom.

The structure belongs to space group P-62m (No. 189); the cell edges are 7.3479, 7.3479 and 4.0169 Å and the angles 90.00°, 90.00° and 120.00°. The asymmetric unit holds Dy at (0.0000, 0.4118, 0.0000), Mg at (0.0000, 0.7548, 0.5000), Pd at (0.0000, 0.0000, 0.0000) and Pd at (0.3333, 0.6667, 0.5000).

***

Entry 6:
VASP calculation (SCAN) on Al2AgPb at its PBEsol-relaxed geometry.

Its electronic total energy is -2.2433 Ry per atom. As for the density of states at the Fermi level: 0.3479 states/eV/atom. The calculated formation energy comes out at 142 meV per atom.

The structure belongs to space group P4/mmm (No. 123); the cell edges are 3.161, 3.161 and 8.019 Å and the angles 90.00°, 90.00° and 90.00°. The asymmetric unit holds Al at (0.000, 0.000, 0.203), Ag at (0.500, 0.500, 0.000) and Pb at (0.500, 0.500, 0.500).

***

Question: The lowest electronic total energy belongs to which entry?
Answer: LiIr3C

***

Question: Number 3 is which compound?
Answer: LiMnGe2